(1)
The following is a PBE-GGA calculation of a relaxed SrHg3C crystal, from the Alexandria database.

The structure in extended XYZ format:
```
5
Lattice="4.958 0.000 0.000 0.000 4.958 0.000 0.000 0.000 4.958" Properties=species:S:1:pos:R:3 pbc="T T T"
Sr 0.000 0.000 0.000
Hg 0.000 2.479 2.479
Hg 2.479 0.000 2.479
Hg 2.479 2.479 0.000
C 2.479 2.479 2.479
```

Values from the calculation:
crystal system	cubic
polymorph energy (0 for the lowest one)	0.000	eV per atom
DFT formation energy	0.631	eV per atom



(2)
The following is a PBE-GGA calculation of a relaxed MnBe17Os crystal, from the Alexandria database.

The structure in extended XYZ format:
```
19
Lattice="3.595 2.075 3.512 -3.595 2.075 3.512 0.000 -4.151 3.512" Properties=species:S:1:pos:R:3 pbc="T T T"
Mn 0.000 0.000 0.000
Be 0.000 -2.005 1.803
Be -1.736 1.003 1.803
Be -1.808 -1.044 5.185
Be 0.000 -2.093 5.040
Be -1.813 1.047 5.040
Be -1.098 -1.905 6.943
Be -2.198 0.002 6.943
Be 1.736 1.003 1.803
Be 0.000 0.000 5.865
Be 1.098 -1.905 6.943
Be -1.101 1.903 6.943
Be 1.808 -1.044 5.185
Be 0.000 2.087 5.185
Be 0.000 0.000 8.020
Be 1.813 1.047 5.040
Be 2.198 0.002 6.943
Be 1.101 1.903 6.943
Os 0.000 0.000 3.403
```

Values from the calculation:
crystal system	trigonal
DFT formation energy	-0.125	eV per atom



(3)
The following is a PBE-GGA calculation of a relaxed Pm3Nd6Y crystal, from the Alexandria database.

The structure in extended XYZ format:
```
20
Lattice="5.498 -9.709 0.000 5.498 9.709 0.000 0.000 0.000 6.549" Properties=species:S:1:pos:R:3 pbc="T T T"
Pm 5.498 7.475 3.275
Pm 3.583 2.269 5.787
Pm 3.583 -2.269 2.513
Pm 7.414 2.269 5.787
Pm 7.414 -2.269 2.513
Pm 5.498 -7.475 0.000
Nd 2.534 4.068 1.836
Nd 1.884 0.823 3.101
Nd 1.884 -0.823 6.376
Nd 5.498 5.413 0.463
Nd 2.534 -4.068 5.111
Nd 5.498 0.619 1.801
Nd 5.498 -0.619 5.075
Nd 8.462 4.068 1.836
Nd 5.498 -5.413 3.738
Nd 9.112 0.823 3.101
Nd 9.112 -0.823 6.376
Nd 8.462 -4.068 5.111
Y 5.498 3.658 3.436
Y 5.498 -3.658 0.162
```

Values from the calculation:
crystal system	orthorhombic
polymorph energy (0 for the lowest one)	0.000	eV per atom
DFT formation energy	0.136	eV per atom



(4)
The following is a PBE-GGA calculation of a relaxed Ba2PuTlO6 crystal, from the Alexandria database.

The structure in extended XYZ format:
```
10
Lattice="5.489 -3.146 0.000 5.489 3.146 0.000 -3.531 0.000 5.457" Properties=species:S:1:pos:R:3 pbc="T T T"
Ba 1.902 0.000 1.243
Ba 5.545 0.000 4.214
Pu 5.489 0.000 0.000
Tl -1.765 0.000 2.728
O 4.234 1.412 0.744
O 0.899 0.000 3.742
O 3.213 1.412 4.713
O 4.234 -1.412 0.744
O 6.548 0.000 1.714
O 3.213 -1.412 4.713
```

Values from the calculation:
crystal system	monoclinic
formation energy (no corrections)	-23.8	eV per formula unit



(5)
The following is a PBE-GGA calculation of a relaxed La12Pm7Pb crystal, from the Alexandria database.

The structure in extended XYZ format:
```
20
Lattice="6.598 0.000 0.000 0.006 10.178 0.000 3.047 5.086 10.525" Properties=species:S:1:pos:R:3 pbc="T T T"
La 1.140 5.094 1.594
La 2.701 5.093 4.509
La 3.654 8.495 6.054
La 3.652 11.873 6.045
La 4.889 8.226 9.369
La 4.893 12.118 9.361
La 4.757 3.146 1.164
La 4.761 7.038 1.156
La 5.998 3.392 4.479
La 5.996 6.770 4.471
La 6.949 10.172 6.015
La 8.511 10.171 8.931
Pm 1.762 8.441 2.696
Pm 1.765 1.744 2.692
Pm 4.660 5.088 7.463
Pm 3.299 0.000 0.000
Pm 4.991 10.177 3.062
Pm 7.886 13.521 7.832
Pm 7.888 6.824 7.828
Pb 0.000 0.000 0.000
```

Values from the calculation:
crystal system	triclinic
DFT formation energy	-0.017	eV per atom



(6)
The following is a PBE-GGA calculation of a relaxed ScNi2Ag2 crystal, from the Alexandria database.

The structure in extended XYZ format:
```
5
Lattice="-1.901 1.901 5.841 1.901 -1.901 5.841 1.901 1.901 -5.841" Properties=species:S:1:pos:R:3 pbc="T T T"
Sc 0.000 0.000 0.000
Ni 0.000 0.000 4.735
Ni 0.000 0.000 6.946
Ag 1.901 0.000 2.920
Ag 0.000 1.901 2.920
```

Values from the calculation:
crystal system	tetragonal
polymorph energy (0 for the lowest one)	0.049	eV per atom
DFT formation energy	0.006	eV per atom